Below is a geometry-optimized SrCr structure, with properties calculated at the PBE level.

Calculated values
Magnetic moment, μB/cell: 0.12
Density, kg/m³: 3790
SG: Imm2
Energy of formation, meV/atom: 708

Unit cell a=7.7827 b=7.7827 c=7.7827 alpha=150.55 beta=61.79 gamma=127.00
Fractional coordinates of all 6 atoms:
Sr (0.0000, 0.0000, 0.0000)
Sr (0.5041, 0.2271, 0.2770)
Sr (0.9501, 0.2271, 0.7230)
Cr (0.2711, 0.8476, 0.4235)
Cr (0.4240, 0.8476, 0.5765)
Cr (0.4821, 0.4821, 0.0000)